Record 1
# LiZn2Cl PBEsol relaxed
data_LiZn2Cl
_cell_length_a 3.2325
_cell_length_b 3.2325
_cell_length_c 23.6603
_cell_angle_alpha 90.00
_cell_angle_beta 90.00
_cell_angle_gamma 120.00
_symmetry_space_group_name_H-M 'R -3 m'
_symmetry_Int_Tables_number 166
_symmetry_space_group_name_Hall '-R 3 2"'
loop_
_atom_site_label
_atom_site_fract_x
_atom_site_fract_y
_atom_site_fract_z
Li1 0.0000 0.0000 0.0000
Zn1 0.0000 0.0000 0.2481
Cl1 0.0000 0.0000 0.5000
# - Energy relative to the elements, uncorrected: -244 meV per atom

=====

Record 2
TaAlRu | PBEsol | relaxed

```
data_TaAlRu
_cell_length_a 4.2928
_cell_length_b 4.2928
_cell_length_c 2.8569
_cell_angle_alpha 90.00
_cell_angle_beta 90.00
_cell_angle_gamma 120.00
_symmetry_space_group_name_H-M 'P 3 m 1'
_symmetry_Int_Tables_number 156
loop_
_symmetry_equiv_pos_as_xyz
'x,y,z'
'-y,x-y,z'
'-x+y,-x,z'
'-y,-x,z'
'-x+y,y,z'
'x,x-y,z'
loop_
_atom_site_label
_atom_site_fract_x
_atom_site_fract_y
_atom_site_fract_z
Ta1 0.0000 0.0000 0.0000
Al1 0.6667 0.3333 0.5401
Ru1 0.3333 0.6667 0.3238
```

=====

no.,energy (eV/atom)
1,-2.03
2,-9.25